No. 1
As2OsCl | GGA-PBEsol | relaxed

Structure (CIF):
```
data_As2OsCl
_chemical_formula_sum 'As2 Os1 Cl1'
_symmetry_space_group_name_H-M 'P m m m'
_symmetry_Int_Tables_number 47
_cell_length_a 3.0621
_cell_length_b 4.4543
_cell_length_c 4.6248
_cell_angle_alpha 90.00
_cell_angle_beta 90.00
_cell_angle_gamma 90.00
loop_
_symmetry_equiv_pos_as_xyz
'x,y,z'
'-x,-y,-z'
'-x,-y,z'
'x,y,-z'
'x,-y,-z'
'-x,y,z'
'-x,y,-z'
'x,-y,z'
loop_
_atom_site_label
_atom_site_fract_x
_atom_site_fract_y
_atom_site_fract_z
As1 0.0000 0.0000 0.0000
As2 0.5000 0.5000 0.0000
Os1 0.0000 0.5000 0.5000
Cl1 0.5000 0.0000 0.5000
```

The energy above the most stable polymorph in this dataset is 461 meV/atom. The value obtained for the uncorrected formation energy is 818 meV per atom.



No. 2
AsP2OsCl | GGA-PBEsol | relaxed

Structure (CIF):
```
data_AsP2OsCl
_chemical_formula_sum 'As1 P2 Os1 Cl1'
_symmetry_space_group_name_H-M 'P 4/m m m'
_symmetry_Int_Tables_number 123
_symmetry_space_group_name_Hall '-P 4 2'
_cell_length_a 4.5184
_cell_length_b 4.5184
_cell_length_c 4.7695
_cell_angle_alpha 90.00
_cell_angle_beta 90.00
_cell_angle_gamma 90.00
loop_
_atom_site_label
_atom_site_fract_x
_atom_site_fract_y
_atom_site_fract_z
As1 0.0000 0.0000 0.0000
P1 0.0000 0.5000 0.5000
Os1 0.5000 0.5000 0.5000
Cl1 0.5000 0.5000 0.0000
```

The value obtained for the uncorrected formation energy is 709 meV per atom.



No. 3
AsPCl2 | GGA-PBEsol | relaxed

Structure (CIF):
```
data_AsPCl2
_chemical_formula_sum 'As4 P4 Cl8'
_symmetry_space_group_name_H-M 'F m -3 m'
_symmetry_Int_Tables_number 225
_symmetry_space_group_name_Hall '-F 4 2 3'
_cell_length_a 6.5865
_cell_length_b 6.5865
_cell_length_c 6.5865
_cell_angle_alpha 90.00
_cell_angle_beta 90.00
_cell_angle_gamma 90.00
loop_
_atom_site_label
_atom_site_fract_x
_atom_site_fract_y
_atom_site_fract_z
As1 0.0000 0.0000 0.0000
P1 0.0000 0.0000 0.5000
Cl1 0.2500 0.2500 0.2500
```

The energy above the most stable polymorph in this dataset is 1045 meV/atom. The value obtained for the uncorrected formation energy is 689 meV per atom.



No. 4
AsPCl | GGA-PBEsol | relaxed

Structure (CIF):
```
data_AsPCl
_chemical_formula_sum 'As1 P1 Cl1'
_symmetry_space_group_name_H-M 'P 3 m 1'
_symmetry_Int_Tables_number 156
_cell_length_a 3.5041
_cell_length_b 3.5041
_cell_length_c 5.5148
_cell_angle_alpha 90.00
_cell_angle_beta 90.00
_cell_angle_gamma 120.00
loop_
_symmetry_equiv_pos_as_xyz
'x,y,z'
'-y,x-y,z'
'-x+y,-x,z'
'-y,-x,z'
'-x+y,y,z'
'x,x-y,z'
loop_
_atom_site_label
_atom_site_fract_x
_atom_site_fract_y
_atom_site_fract_z
As1 0.0000 0.0000 0.0000
P1 0.3333 0.6667 0.2296
Cl1 0.6667 0.3333 0.6110
```

The value obtained for the uncorrected formation energy is -71 meV per atom.



No. 5
AsPCl3 | GGA-PBEsol | relaxed

Structure (CIF):
```
data_AsPCl3
_chemical_formula_sum 'As1 P1 Cl3'
_symmetry_space_group_name_H-M 'P m -3 m'
_symmetry_Int_Tables_number 221
_symmetry_space_group_name_Hall '-P 4 2 3'
_cell_length_a 4.9539
_cell_length_b 4.9539
_cell_length_c 4.9539
_cell_angle_alpha 90.00
_cell_angle_beta 90.00
_cell_angle_gamma 90.00
loop_
_atom_site_label
_atom_site_fract_x
_atom_site_fract_y
_atom_site_fract_z
As1 0.0000 0.0000 0.0000
P1 0.5000 0.5000 0.5000
Cl1 0.0000 0.0000 0.5000
```

The value obtained for the uncorrected formation energy is 344 meV per atom.



No. 6
AsPCl2 | GGA-PBEsol | relaxed

Structure (CIF):
```
data_AsPCl2
_chemical_formula_sum 'As1 P1 Cl2'
_symmetry_space_group_name_H-M 'P 1 m 1'
_symmetry_Int_Tables_number 6
_cell_length_a 3.8708
_cell_length_b 3.6617
_cell_length_c 7.0515
_cell_angle_alpha 90.00
_cell_angle_beta 91.97
_cell_angle_gamma 90.00
loop_
_symmetry_equiv_pos_as_xyz
'x,y,z'
'x,-y,z'
loop_
_atom_site_label
_atom_site_fract_x
_atom_site_fract_y
_atom_site_fract_z
As1 0.0000 0.0000 0.0000
P1 0.5853 0.5000 0.9861
Cl1 0.0418 0.0000 0.3106
Cl2 0.5363 0.5000 0.6934
```

The energy above the most stable polymorph in this dataset is 0 meV/atom. The value obtained for the uncorrected formation energy is -356 meV per atom.



No. 7
As4PCl | GGA-PBEsol | relaxed

Structure (CIF):
```
data_As4PCl
_chemical_formula_sum 'As16 P4 Cl4'
_symmetry_space_group_name_H-M 'F -4 3 m'
_symmetry_Int_Tables_number 216
_symmetry_space_group_name_Hall 'F -4 2 3'
_cell_length_a 7.7969
_cell_length_b 7.7969
_cell_length_c 7.7969
_cell_angle_alpha 90.00
_cell_angle_beta 90.00
_cell_angle_gamma 90.00
loop_
_atom_site_label
_atom_site_fract_x
_atom_site_fract_y
_atom_site_fract_z
As1 0.1157 0.1157 0.3843
P1 0.0000 0.0000 0.0000
Cl1 0.2500 0.2500 0.7500
```

The value obtained for the uncorrected formation energy is 566 meV per atom.



No. 8
As2PCl | GGA-PBEsol | relaxed

Structure (CIF):
```
data_As2PCl
_chemical_formula_sum 'As2 P1 Cl1'
_symmetry_space_group_name_H-M 'P 1 2/m 1'
_symmetry_Int_Tables_number 10
_cell_length_a 3.9407
_cell_length_b 4.4734
_cell_length_c 4.9866
_cell_angle_alpha 90.00
_cell_angle_beta 112.55
_cell_angle_gamma 90.00
loop_
_symmetry_equiv_pos_as_xyz
'x,y,z'
'-x,-y,-z'
'-x,y,-z'
'x,-y,z'
loop_
_atom_site_label
_atom_site_fract_x
_atom_site_fract_y
_atom_site_fract_z
As1 0.1721 0.0000 0.3265
P1 0.0000 0.5000 0.5000
Cl1 0.5000 0.5000 0.0000
```

The energy above the most stable polymorph in this dataset is 0 meV/atom. The value obtained for the uncorrected formation energy is 99 meV per atom.



No. 9
As2PCl | GGA-PBEsol | relaxed

Structure (CIF):
```
data_As2PCl
_chemical_formula_sum 'As6 P3 Cl3'
_symmetry_space_group_name_H-M 'R -3 m'
_symmetry_Int_Tables_number 166
_symmetry_space_group_name_Hall '-R 3 2"'
_cell_length_a 3.4555
_cell_length_b 3.4555
_cell_length_c 21.8639
_cell_angle_alpha 90.00
_cell_angle_beta 90.00
_cell_angle_gamma 120.00
loop_
_atom_site_label
_atom_site_fract_x
_atom_site_fract_y
_atom_site_fract_z
As1 0.0000 0.0000 0.2375
P1 0.0000 0.0000 0.5000
Cl1 0.0000 0.0000 0.0000
```

The energy above the most stable polymorph in this dataset is 24 meV/atom. The value obtained for the uncorrected formation energy is 123 meV per atom.



No. 10
AsPPdCl2 | GGA-PBEsol | relaxed

Structure (CIF):
```
data_AsPPdCl2
_chemical_formula_sum 'As1 P1 Pd1 Cl2'
_symmetry_space_group_name_H-M 'P 4/m m m'
_symmetry_Int_Tables_number 123
_symmetry_space_group_name_Hall '-P 4 2'
_cell_length_a 4.6492
_cell_length_b 4.6492
_cell_length_c 5.0464
_cell_angle_alpha 90.00
_cell_angle_beta 90.00
_cell_angle_gamma 90.00
loop_
_atom_site_label
_atom_site_fract_x
_atom_site_fract_y
_atom_site_fract_z
As1 0.0000 0.0000 0.0000
P1 0.0000 0.0000 0.5000
Pd1 0.5000 0.5000 0.5000
Cl1 0.0000 0.5000 0.0000
```

The value obtained for the uncorrected formation energy is 640 meV per atom.



No. 11
AsPS2Cl | GGA-PBEsol | relaxed

Structure (CIF):
```
data_AsPS2Cl
_chemical_formula_sum 'As1 P1 S2 Cl1'
_symmetry_space_group_name_H-M 'P 4/m m m'
_symmetry_Int_Tables_number 123
_symmetry_space_group_name_Hall '-P 4 2'
_cell_length_a 4.4853
_cell_length_b 4.4853
_cell_length_c 4.7091
_cell_angle_alpha 90.00
_cell_angle_beta 90.00
_cell_angle_gamma 90.00
loop_
_atom_site_label
_atom_site_fract_x
_atom_site_fract_y
_atom_site_fract_z
As1 0.0000 0.0000 0.0000
P1 0.5000 0.5000 0.0000
S1 0.0000 0.5000 0.5000
Cl1 0.5000 0.5000 0.5000
```

The value obtained for the uncorrected formation energy is 1198 meV per atom.



No. 12
SbAsPCl13 | GGA-PBEsol | relaxed

Structure (CIF):
```
data_SbAsPCl13
_chemical_formula_sum 'Sb4 As4 P4 Cl52'
_symmetry_space_group_name_H-M 'C m c 21'
_symmetry_Int_Tables_number 36
_cell_length_a 10.2259
_cell_length_b 15.8662
_cell_length_c 11.6541
_cell_angle_alpha 90.00
_cell_angle_beta 90.00
_cell_angle_gamma 90.00
loop_
_symmetry_equiv_pos_as_xyz
'x,y,z'
'-x,-y,z+1/2'
'-x,y,z'
'x,-y,z+1/2'
'x+1/2,y+1/2,z'
'-x+1/2,-y+1/2,z+1/2'
'-x+1/2,y+1/2,z'
'x+1/2,-y+1/2,z+1/2'
loop_
_atom_site_label
_atom_site_fract_x
_atom_site_fract_y
_atom_site_fract_z
Sb1 0.0000 0.2174 0.0000
As1 0.0000 0.4406 0.8517
P1 0.0000 0.1334 0.5400
Cl1 0.0000 0.0897 0.8913
Cl2 0.0000 0.1320 0.3724
Cl3 0.0000 0.2503 0.5912
Cl4 0.0000 0.3481 0.1031
Cl5 0.0000 0.4372 0.6603
Cl6 0.1556 0.0766 0.5976
Cl7 0.1640 0.4699 0.3719
Cl8 0.1657 0.1626 0.1230
Cl9 0.1666 0.2724 0.8737
```

The value obtained for the uncorrected formation energy is -679 meV per atom.



No. 13
TaAsP2Cl | GGA-PBEsol | relaxed

Structure (CIF):
```
data_TaAsP2Cl
_chemical_formula_sum 'Ta1 As1 P2 Cl1'
_symmetry_space_group_name_H-M 'P 4/m m m'
_symmetry_Int_Tables_number 123
_symmetry_space_group_name_Hall '-P 4 2'
_cell_length_a 4.8549
_cell_length_b 4.8549
_cell_length_c 4.5669
_cell_angle_alpha 90.00
_cell_angle_beta 90.00
_cell_angle_gamma 90.00
loop_
_atom_site_label
_atom_site_fract_x
_atom_site_fract_y
_atom_site_fract_z
Ta1 0.0000 0.0000 0.0000
As1 0.5000 0.5000 0.5000
P1 0.0000 0.5000 0.0000
Cl1 0.0000 0.0000 0.5000
```

The value obtained for the uncorrected formation energy is 393 meV per atom.



No. 14
TaAsPCl13 | GGA-PBEsol | relaxed

Structure (CIF):
```
data_TaAsPCl13
_chemical_formula_sum 'Ta4 As4 P4 Cl52'
_symmetry_space_group_name_H-M 'C m c 21'
_symmetry_Int_Tables_number 36
_cell_length_a 10.1548
_cell_length_b 15.8800
_cell_length_c 11.5961
_cell_angle_alpha 90.00
_cell_angle_beta 90.00
_cell_angle_gamma 90.00
loop_
_symmetry_equiv_pos_as_xyz
'x,y,z'
'-x,-y,z+1/2'
'-x,y,z'
'x,-y,z+1/2'
'x+1/2,y+1/2,z'
'-x+1/2,-y+1/2,z+1/2'
'-x+1/2,y+1/2,z'
'x+1/2,-y+1/2,z+1/2'
loop_
_atom_site_label
_atom_site_fract_x
_atom_site_fract_y
_atom_site_fract_z
Ta1 0.0000 0.2166 0.0000
As1 0.0000 0.4427 0.8525
P1 0.0000 0.1304 0.5383
Cl1 0.0000 0.0962 0.8825
Cl2 0.0000 0.1320 0.3700
Cl3 0.0000 0.2460 0.5947
Cl4 0.0000 0.3427 0.1060
Cl5 0.0000 0.4334 0.6612
Cl6 0.1566 0.0723 0.5941
Cl7 0.1637 0.1597 0.1171
Cl8 0.1638 0.2768 0.8783
Cl9 0.1650 0.4669 0.3679
```

The value obtained for the uncorrected formation energy is -919 meV per atom.



No. 15
TeAsP2Cl | GGA-PBEsol | relaxed

Structure (CIF):
```
data_TeAsP2Cl
_chemical_formula_sum 'Te1 As1 P2 Cl1'
_symmetry_space_group_name_H-M 'P 4/m m m'
_symmetry_Int_Tables_number 123
_symmetry_space_group_name_Hall '-P 4 2'
_cell_length_a 4.8447
_cell_length_b 4.8447
_cell_length_c 4.5902
_cell_angle_alpha 90.00
_cell_angle_beta 90.00
_cell_angle_gamma 90.00
loop_
_atom_site_label
_atom_site_fract_x
_atom_site_fract_y
_atom_site_fract_z
Te1 0.0000 0.0000 0.0000
As1 0.5000 0.5000 0.5000
P1 0.0000 0.5000 0.5000
Cl1 0.5000 0.5000 0.0000
```

The value obtained for the uncorrected formation energy is 585 meV per atom.



No. 16
TeAs2PCl | GGA-PBEsol | relaxed

Structure (CIF):
```
data_TeAs2PCl
_chemical_formula_sum 'Te1 As2 P1 Cl1'
_symmetry_space_group_name_H-M 'P 4/m m m'
_symmetry_Int_Tables_number 123
_symmetry_space_group_name_Hall '-P 4 2'
_cell_length_a 5.2919
_cell_length_b 5.2919
_cell_length_c 4.8992
_cell_angle_alpha 90.00
_cell_angle_beta 90.00
_cell_angle_gamma 90.00
loop_
_atom_site_label
_atom_site_fract_x
_atom_site_fract_y
_atom_site_fract_z
Te1 0.0000 0.0000 0.0000
As1 0.0000 0.5000 0.0000
P1 0.5000 0.5000 0.5000
Cl1 0.0000 0.0000 0.5000
```

The value obtained for the uncorrected formation energy is 1114 meV per atom.



No. 17
TiAsPCl2 | GGA-PBEsol | relaxed

Structure (CIF):
```
data_TiAsPCl2
_chemical_formula_sum 'Ti1 As1 P1 Cl2'
_symmetry_space_group_name_H-M 'P 4/m m m'
_symmetry_Int_Tables_number 123
_symmetry_space_group_name_Hall '-P 4 2'
_cell_length_a 4.5091
_cell_length_b 4.5091
_cell_length_c 5.1727
_cell_angle_alpha 90.00
_cell_angle_beta 90.00
_cell_angle_gamma 90.00
loop_
_atom_site_label
_atom_site_fract_x
_atom_site_fract_y
_atom_site_fract_z
Ti1 0.0000 0.0000 0.0000
As1 0.5000 0.5000 0.5000
P1 0.0000 0.0000 0.5000
Cl1 0.0000 0.5000 0.0000
```

The value obtained for the uncorrected formation energy is -191 meV per atom.



No. 18
TiAsP2Cl | GGA-PBEsol | relaxed

Structure (CIF):
```
data_TiAsP2Cl
_chemical_formula_sum 'Ti1 As1 P2 Cl1'
_symmetry_space_group_name_H-M 'P 4/m m m'
_symmetry_Int_Tables_number 123
_symmetry_space_group_name_Hall '-P 4 2'
_cell_length_a 4.7835
_cell_length_b 4.7835
_cell_length_c 4.4146
_cell_angle_alpha 90.00
_cell_angle_beta 90.00
_cell_angle_gamma 90.00
loop_
_atom_site_label
_atom_site_fract_x
_atom_site_fract_y
_atom_site_fract_z
Ti1 0.0000 0.0000 0.0000
As1 0.5000 0.5000 0.5000
P1 0.0000 0.5000 0.0000
Cl1 0.0000 0.0000 0.5000
```

The value obtained for the uncorrected formation energy is 167 meV per atom.



No. 19
AsPbCl2 | GGA-PBEsol | relaxed

Structure (CIF):
```
data_AsPbCl2
_chemical_formula_sum 'As1 Pb1 Cl2'
_symmetry_space_group_name_H-M 'P 1 2/m 1'
_symmetry_Int_Tables_number 10
_cell_length_a 4.6529
_cell_length_b 4.4766
_cell_length_c 4.6843
_cell_angle_alpha 90.00
_cell_angle_beta 93.17
_cell_angle_gamma 90.00
loop_
_symmetry_equiv_pos_as_xyz
'x,y,z'
'-x,-y,-z'
'-x,y,-z'
'x,-y,z'
loop_
_atom_site_label
_atom_site_fract_x
_atom_site_fract_y
_atom_site_fract_z
As1 0.0000 0.0000 0.0000
Pb1 0.5000 0.0000 0.5000
Cl1 0.2280 0.5000 0.7718
```

The energy above the most stable polymorph in this dataset is 0 meV/atom. The value obtained for the uncorrected formation energy is -265 meV per atom.



No. 20
AsPb2Cl | GGA-PBEsol | relaxed

Structure (CIF):
```
data_AsPb2Cl
_chemical_formula_sum 'As3 Pb6 Cl3'
_symmetry_space_group_name_H-M 'R -3 m'
_symmetry_Int_Tables_number 166
_symmetry_space_group_name_Hall '-R 3 2"'
_cell_length_a 4.2937
_cell_length_b 4.2937
_cell_length_c 21.0443
_cell_angle_alpha 90.00
_cell_angle_beta 90.00
_cell_angle_gamma 120.00
loop_
_atom_site_label
_atom_site_fract_x
_atom_site_fract_y
_atom_site_fract_z
As1 0.0000 0.0000 0.0000
Pb1 0.0000 0.0000 0.2585
Cl1 0.0000 0.0000 0.5000
```

The value obtained for the uncorrected formation energy is -432 meV per atom.